1.
TlBC4N4: optimized geometry, PBE-GGA.

Values from the calculation:
* energy relative to the elements, uncorrected: 212 meV/atom
* magnetic moment: 0.000 μB/cell
* volume: 195.1 Å³/f.u.
* DOS(E_F): 0.0 states/eV/cell

Cell: 9.0093 9.0093 9.0093 Å, 132.48 132.48 69.47°
Closest atoms and distances in Å follow each position.
Positions (direct):
B (0.0000, 0.0000, 0.0000)  4 C 1.59
N (0.1599, 0.0675, 0.4352)  1 C 1.17
C (0.6599, 0.2128, 0.2510)  1 N 1.17
N (0.9325, 0.3677, 0.0924)  1 C 1.17
C (0.9618, 0.4089, 0.7490)  1 N 1.17
C (0.1589, 0.9099, 0.9471)  1 N 1.17
Tl (0.2500, 0.7500, 0.5000)  8 N 3.03-3.32
N (0.4747, 0.4099, 0.5924)  1 C 1.17
N (0.5901, 0.1825, 0.0648)  1 C 1.17
C (0.7882, 0.8411, 0.7510)  1 N 1.17
C (0.0901, 0.0372, 0.2490)  1 N 1.17
C (0.7872, 0.0382, 0.4471)  1 N 1.17
B (0.7500, 0.2500, 0.5000)  4 C 1.59
C (0.5911, 0.3401, 0.5529)  1 N 1.17
C (0.9628, 0.2118, 0.0529)  1 N 1.17
Tl (0.5000, 0.5000, 0.0000)  8 N 3.03-3.32
N (0.6323, 0.7247, 0.5648)  1 C 1.17
N (0.1177, 0.5253, 0.9352)  1 C 1.17
N (0.2753, 0.8401, 0.9076)  1 C 1.17
N (0.8175, 0.8823, 0.4076)  1 C 1.17

---

2.
Y2TcPtN: optimized geometry, PBE-GGA.

Values from the calculation:
* energy relative to the elements, uncorrected: -944 meV/atom
* magnetic moment: 0.000 μB/cell
* volume: 91.3 Å³/f.u.
* DOS(E_F): 2.1 states/eV/cell

Cell: 4.8653 4.8653 3.8590 Å, 90.00 90.00 90.00°
Closest atoms and distances in Å follow each position.
Positions (direct):
Y (0.0000, 0.5000, 0.0000)  2 N 2.43
Tc (0.0000, 0.0000, 0.5000)  2 N 1.93
Y (0.5000, 0.0000, 0.0000)  2 N 2.43
N (0.0000, 0.0000, 0.0000)  2 Tc 1.93
Pt (0.5000, 0.5000, 0.5000)  8 Y 3.10, 4 Tc 3.44

---

3.
Cs4DyTh3Se8: optimized geometry, PBE-GGA.

Values from the calculation:
* energy relative to the elements, uncorrected: -1567 meV/atom
* magnetic moment: 0.000 μB/cell
* volume: 541.6 Å³/f.u.
* DOS(E_F): 9.7 states/eV/cell

Cell: 8.5768 9.8404 8.5774 Å, 115.86 120.00 90.00°
Closest atoms and distances in Å follow each position.
Positions (direct):
Th (0.0000, 0.5000, 0.5000)  6 Se 2.98-2.99
Se (0.2282, 0.6918, 0.4565)  1 Dy 2.93, 2 Th 2.98
Cs (0.5000, 0.0000, 0.0000)  6 Se 3.63
Se (0.2282, 0.6918, 0.9637)  1 Dy 2.93, 2 Th 2.98
Se (0.2676, 0.3029, 0.5352)  3 Th 2.99
Se (0.2645, 0.3082, 0.0363)  1 Dy 2.93, 2 Th 2.98
Se (0.7718, 0.3082, 0.0363)  1 Dy 2.93, 2 Th 2.98
Th (0.5000, 0.5000, 0.5000)  6 Se 2.98-2.99
Cs (0.5000, 0.0000, 0.5000)  6 Se 3.57-3.59
Cs (0.0000, 0.0000, 0.0000)  6 Se 3.57-3.59
Se (0.7718, 0.3082, 0.5435)  1 Dy 2.93, 2 Th 2.98
Th (0.5000, 0.5000, 0.0000)  6 Se 2.98-2.99
Se (0.7355, 0.6918, 0.9637)  1 Dy 2.93, 2 Th 2.98
Dy (0.0000, 0.5000, 0.0000)  6 Se 2.93
Cs (0.0000, 0.0000, 0.5000)  6 Se 3.57-3.59
Se (0.7324, 0.6971, 0.4648)  3 Th 2.99

---

4.
U2TiS5: optimized geometry, PBE-GGA.

Values from the calculation:
* energy relative to the elements, uncorrected: -1302 meV/atom
* magnetic moment: 11.984 μB/cell
* volume: 199.7 Å³/f.u.
* DOS(E_F): 21.1 states/eV/cell

Cell: 5.2950 6.7347 12.1781 Å, 90.00 90.00 113.15°
Closest atoms and distances in Å follow each position.
Positions (direct):
S (0.2745, 0.5490, 0.7500)  2 Ti 2.66, 2 U 2.71
S (0.7255, 0.4510, 0.2500)  2 Ti 2.66, 2 U 2.71
S (0.6728, 0.3457, 0.5788)  1 Ti 2.56, 3 U 2.67-2.79
S (0.3272, 0.6543, 0.0788)  1 Ti 2.56, 3 U 2.67-2.79
S (0.9480, 0.8960, 0.6251)  1 Ti 2.45, 2 U 2.63
U (0.1517, 0.3034, 0.9346)  6 S 2.63-2.79
S (0.9480, 0.8960, 0.8749)  1 Ti 2.45, 2 U 2.63
S (0.0520, 0.1040, 0.3749)  1 Ti 2.45, 2 U 2.63
U (0.8483, 0.6966, 0.0654)  6 S 2.63-2.79
Ti (0.2072, 0.4144, 0.2500)  6 S 2.45-2.66
S (0.3272, 0.6543, 0.4212)  1 Ti 2.56, 3 U 2.67-2.79
Ti (0.7928, 0.5856, 0.7500)  6 S 2.45-2.66
U (0.1517, 0.3034, 0.5654)  6 S 2.63-2.79
S (0.6728, 0.3457, 0.9212)  1 Ti 2.56, 3 U 2.67-2.79
S (0.0520, 0.1040, 0.1251)  1 Ti 2.45, 2 U 2.63
U (0.8483, 0.6966, 0.4346)  6 S 2.63-2.79

---

5.
Ho2Ga4Ir5: optimized geometry, PBE-GGA.

Values from the calculation:
* magnetic moment: 0.000 μB/cell
* volume: 201.7 Å³/f.u.
* calculated formation energy: -58 kJ per mole of atoms
* DOS(E_F): 5.7 states/eV/cell

Cell: 5.6524 5.5118 8.0541 Å, 79.63 69.46 59.15°
Closest atoms and distances in Å follow each position.
Positions (direct):
Ir (0.0000, 0.5000, 0.0000)  4 Ga 2.59, 4 Ir 2.76-2.83
Ho (0.8827, 0.0000, 0.2346)  6 Ga 3.19-3.26, 10 Ir 3.27-3.41, 1 Ho 3.54
Ga (0.5245, 0.6884, 0.2627)  5 Ir 2.45-2.59
Ga (0.7872, 0.6884, 0.7373)  5 Ir 2.45-2.59
Ir (0.2500, 0.5000, 0.5000)  4 Ga 2.45
Ir (0.5000, 0.5000, 0.0000)  4 Ga 2.59, 4 Ir 2.76-2.83
Ir (0.5000, 0.0000, 0.0000)  4 Ga 2.47, 4 Ir 2.76
Ir (0.7500, 0.5000, 0.5000)  4 Ga 2.45
Ga (0.4755, 0.3116, 0.7373)  5 Ir 2.45-2.59
Ga (0.2128, 0.3116, 0.2627)  5 Ir 2.45-2.59
Ho (0.1173, 0.0000, 0.7654)  6 Ga 3.19-3.26, 10 Ir 3.27-3.41, 1 Ho 3.54

---

6.
In4Mo: optimized geometry, PBE-GGA.

Values from the calculation:
* magnetic moment: 0.000 μB/cell
* volume: 131.1 Å³/f.u.
* ΔE to the lowest computed polymorph: 0 meV per atom
* calculated formation energy: 3 kJ per mole of atoms
* DOS(E_F): 0.3 states/eV/cell

Cell: 5.5429 5.5429 5.5429 Å, 109.47 109.47 109.47°
Closest atoms and distances in Å follow each position.
Positions (direct):
In (0.5000, 0.5000, 0.5000)  2 Mo 2.77
In (0.0000, 0.5000, 0.0000)  2 Mo 2.77
In (0.5000, 0.0000, 0.0000)  2 Mo 2.77
In (0.0000, 0.0000, 0.5000)  2 Mo 2.77
Mo (0.0000, 0.0000, 0.0000)  8 In 2.77

---

7.
Ta2BeCl: optimized geometry, PBE-GGA.

Values from the calculation:
* energy relative to the elements, uncorrected: 538 meV/atom
* magnetic moment: 0.000 μB/cell
* volume: 63.8 Å³/f.u.
* ΔE to the lowest computed polymorph: 437 meV per atom
* DOS(E_F): 3.4 states/eV/cell

Cell: 2.9589 4.9822 5.4329 Å, 52.76 90.00 90.00°
Closest atoms and distances in Å follow each position.
Positions (direct):
Ta (0.0000, 0.0000, 0.0000)  2 Cl 2.72, 4 Be 2.75, 6 Ta 2.90-2.96
Be (0.5000, 0.5000, 0.5000)  6 Ta 2.72-2.75, 4 Cl 2.90, 2 Be 2.96
Ta (0.5000, 0.5000, 0.0000)  2 Be 2.72, 4 Cl 2.75, 6 Ta 2.90-2.96
Cl (0.0000, 0.0000, 0.5000)  6 Ta 2.72-2.75, 4 Be 2.90, 2 Cl 2.96

---

8.
SrCuSi2S: optimized geometry, PBE-GGA.

Values from the calculation:
* energy relative to the elements, uncorrected: 440 meV/atom
* magnetic moment: 0.000 μB/cell
* volume: 119.8 Å³/f.u.
* DOS(E_F): 3.1 states/eV/cell

Cell: 4.7037 5.4169 4.7037 Å, 90.00 90.00 90.00°
Closest atoms and distances in Å follow each position.
Positions (direct):
S (0.0000, 0.0000, 0.0000)  4 Si 2.35
Cu (0.5000, 0.5000, 0.5000)  4 Sr 3.33, 8 Si 3.59
Sr (0.0000, 0.5000, 0.0000)  2 S 2.71
Si (0.5000, 0.0000, 0.0000)  2 S 2.35
Si (0.0000, 0.0000, 0.5000)  2 S 2.35

---

9.
Rb2UI7: optimized geometry, PBE-GGA.

Values from the calculation:
* energy relative to the elements, uncorrected: -971 meV/atom
* magnetic moment: 1.901 μB/cell
* volume: 494.1 Å³/f.u.
* DOS(E_F): 6.2 states/eV/cell

Cell: 9.3561 11.6070 10.9961 Å, 78.13 64.82 66.23°
Closest atoms and distances in Å follow each position.
Positions (direct):
I (0.0889, 0.2970, 0.9233)  1 U 3.17
I (0.7112, 0.5171, 0.8217)  1 U 2.98
I (0.7532, 0.1527, 0.0313)  1 U 3.03
I (0.6909, 0.7970, 0.4233)  1 U 3.17
I (0.3091, 0.2030, 0.5767)  1 U 3.17
Rb (0.3501, 0.0720, 0.2902)  5 I 3.59-3.98
I (0.4069, 0.7500, 0.2500)  1 U 3.06
I (0.9111, 0.7030, 0.0767)  1 U 3.17
I (0.9372, 0.3473, 0.4687)  1 U 3.03
U (0.0793, 0.7500, 0.2500)  7 I 2.98-3.17
I (0.0499, 0.9829, 0.6783)  1 U 2.98
U (0.9207, 0.2500, 0.7500)  7 I 2.98-3.17
I (0.2468, 0.8473, 0.9687)  1 U 3.03
I (0.2888, 0.4829, 0.1783)  1 U 2.98
I (0.0628, 0.6527, 0.5313)  1 U 3.03
Rb (0.7123, 0.4280, 0.2098)  5 I 3.59-3.98
I (0.5931, 0.2500, 0.7500)  1 U 3.06
Rb (0.2877, 0.5720, 0.7902)  5 I 3.59-3.98
I (0.9501, 0.0171, 0.3217)  1 U 2.98
Rb (0.6499, 0.9280, 0.7098)  5 I 3.59-3.98

---

10.
BaCoRh: optimized geometry, PBE-GGA.

Values from the calculation:
* magnetic moment: 1.911 μB/cell
* volume: 73.2 Å³/f.u.
* ΔE to the lowest computed polymorph: 0 meV per atom
* calculated formation energy: 11 kJ per mole of atoms
* DOS(E_F): 2.5 states/eV/cell

Cell: 4.1292 4.1292 4.9548 Å, 90.00 90.00 120.00°
Closest atoms and distances in Å follow each position.
Positions (direct):
Rh (0.3333, 0.6667, 0.5001)  3 Co 2.38
Co (0.6667, 0.3333, 0.4998)  3 Rh 2.38
Ba (0.0000, 0.0000, 0.0000)  6 Co 3.44, 6 Rh 3.44

---

11.
K2LiNiAs2: optimized geometry, PBE-GGA.

Values from the calculation:
* magnetic moment: 0.000 μB/cell
* volume: 144.9 Å³/f.u.
* calculated formation energy: -39 kJ per mole of atoms
* DOS(E_F): 7.9 states/eV/cell

Cell: 6.2481 6.2835 8.6086 Å, 111.40 111.28 90.00°
Closest atoms and distances in Å follow each position.
Positions (direct):
Li (0.0000, 0.2500, 0.0000)  4 As 2.68
Ni (0.5000, 0.2500, 0.0000)  4 As 2.38
K (0.3987, 0.1698, 0.3397)  5 As 3.28-3.67, 2 Li 3.29, 2 Ni 3.41
As (0.3704, 0.5815, 0.1630)  2 Ni 2.38
As (0.7926, 0.0815, 0.1630)  2 Ni 2.38
As (0.6296, 0.4185, 0.8370)  2 Ni 2.38
K (0.9410, 0.6698, 0.3397)  5 As 3.28-3.67, 2 Li 3.29, 2 Ni 3.41
As (0.2074, 0.9185, 0.8370)  2 Ni 2.38
K (0.0590, 0.3302, 0.6603)  5 As 3.28-3.67, 2 Li 3.29, 2 Ni 3.41
K (0.6013, 0.8302, 0.6603)  5 As 3.28-3.67, 2 Li 3.29, 2 Ni 3.41
Ni (0.5000, 0.7500, 0.0000)  4 As 2.38
Li (0.0000, 0.7500, 0.0000)  4 As 2.68

---

12.
Li4CuAg: optimized geometry, PBE-GGA.

Values from the calculation:
* magnetic moment: 0.000 μB/cell
* volume: 88.7 Å³/f.u.
* ΔE to the lowest computed polymorph: 176 meV per atom
* calculated formation energy: 9 kJ per mole of atoms
* DOS(E_F): 3.5 states/eV/cell

Cell: 5.0056 5.0056 5.0056 Å, 60.00 60.00 60.00°
Closest atoms and distances in Å follow each position.
Positions (direct):
Li (0.3748, 0.8757, 0.3748)  6 Li 2.50-2.51
Li (0.8757, 0.3748, 0.3748)  6 Li 2.50-2.51
Cu (0.0000, 0.0000, 0.0000)  12 Li 2.93, 4 Ag 3.07
Ag (0.7500, 0.7500, 0.7500)  12 Li 2.94, 4 Cu 3.07
Li (0.3748, 0.3748, 0.8757)  6 Li 2.50-2.51
Li (0.3748, 0.3748, 0.3748)  6 Li 2.50-2.51

---

13.
Pr5DyAg4: optimized geometry, PBE-GGA.

Values from the calculation:
* magnetic moment: 0.015 μB/cell
* volume: 285.2 Å³/f.u.
* calculated formation energy: -18 kJ per mole of atoms
* DOS(E_F): 11.2 states/eV/cell

Cell: 3.7434 3.7434 20.3509 Å, 90.00 90.00 90.00°
Closest atoms and distances in Å follow each position.
Positions (direct):
Ag (0.0000, 0.0000, 0.2146)  8 Pr 3.26-3.28
Pr (0.5000, 0.5000, 0.6899)  8 Ag 3.28
Ag (0.0000, 0.0000, 0.7854)  8 Pr 3.26-3.28
Ag (0.0000, 0.0000, 0.5946)  8 Pr 3.27-3.28
Dy (0.0000, 0.0000, 0.0000)  8 Pr 3.62, 4 Dy 3.74
Pr (0.5000, 0.5000, 0.5000)  8 Ag 3.27
Pr (0.5000, 0.5000, 0.3101)  8 Ag 3.28
Pr (0.5000, 0.5000, 0.1215)  4 Ag 3.26, 4 Dy 3.62
Pr (0.5000, 0.5000, 0.8785)  4 Ag 3.26, 4 Dy 3.62
Ag (0.0000, 0.0000, 0.4054)  8 Pr 3.27-3.28

---

14.
NiH3Cl: optimized geometry, PBE-GGA.

Values from the calculation:
* magnetic moment: 0.000 μB/cell
* volume: 41.9 Å³/f.u.
* ΔE to the lowest computed polymorph: 0 meV per atom
* DOS(E_F): 6.4 states/eV/cell

Cell: 3.4725 3.4725 3.4725 Å, 90.00 90.00 90.00°
Closest atoms and distances in Å follow each position.
Positions (direct):
Cl (0.5000, 0.5000, 0.5000)  12 H 2.46
H (0.5000, 0.0000, 0.0000)  2 Ni 1.74
Ni (0.0000, 0.0000, 0.0000)  6 H 1.74
H (0.0000, 0.5000, 0.0000)  2 Ni 1.74
H (0.0000, 0.0000, 0.5000)  2 Ni 1.74

---

15.
Ag3Br: optimized geometry, PBE-GGA.

Values from the calculation:
* energy relative to the elements, uncorrected: 106 meV/atom
* magnetic moment: 0.000 μB/cell
* volume: 93.7 Å³/f.u.
* ΔE to the lowest computed polymorph: 123 meV per atom
* DOS(E_F): 1.7 states/eV/cell

Cell: 12.5652 12.5652 12.5652 Å, 162.10 162.10 25.42°
Closest atoms and distances in Å follow each position.
Positions (direct):
Ag (0.0861, 0.0861, 0.0000)  4 Ag 2.88, 4 Br 2.95
Ag (0.7500, 0.2500, 0.5000)  4 Ag 2.77
Br (0.6285, 0.6285, 0.0000)  4 Ag 2.95
Ag (0.9139, 0.9139, 0.0000)  4 Ag 2.88, 4 Br 2.95
Ag (0.0000, 0.5000, 0.5000)  8 Ag 2.77-2.88
Br (0.3715, 0.3715, 0.0000)  4 Ag 2.95
Ag (0.2500, 0.7500, 0.5000)  4 Ag 2.77
Ag (0.5000, 0.0000, 0.5000)  8 Ag 2.77-2.88

---

16.
ReRuSe2: optimized geometry, PBE-GGA.

Values from the calculation:
* energy relative to the elements, uncorrected: 518 meV/atom
* magnetic moment: 0.000 μB/cell
* volume: 64.1 Å³/f.u.
* ΔE to the lowest computed polymorph: 474 meV per atom
* DOS(E_F): 3.6 states/eV/cell

Cell: 5.4865 5.4865 5.4865 Å, 147.93 132.56 58.41°
Closest atoms and distances in Å follow each position.
Positions (direct):
Re (0.4840, 0.4840, 0.0000)  6 Se 2.57-2.68
Se (0.9875, 0.9875, 0.0000)  2 Ru 2.64, 4 Re 2.68
Ru (0.7616, 0.2616, 0.5000)  6 Se 2.64-2.68
Se (0.2668, 0.7668, 0.5000)  2 Re 2.57, 4 Ru 2.68

---

17.
CePu2Cl6: optimized geometry, PBE-GGA.

Values from the calculation:
* energy relative to the elements, uncorrected: -1822 meV/atom
* magnetic moment: 14.004 μB/cell
* volume: 281.7 Å³/f.u.
* ΔE to the lowest computed polymorph: 0 meV per atom
* DOS(E_F): 19.5 states/eV/cell

Cell: 3.9782 8.2204 9.1887 Å, 105.82 102.50 90.00°
Closest atoms and distances in Å follow each position.
Positions (direct):
Pu (0.8373, 0.6685, 0.6746)  6 Cl 2.81-2.84
Cl (0.9996, 0.2509, 0.9992)  1 Pu 2.81, 2 Ce 2.87
Cl (0.0004, 0.7491, 0.0008)  1 Pu 2.81, 2 Ce 2.87
Pu (0.1627, 0.3315, 0.3254)  6 Cl 2.81-2.84
Cl (0.6728, 0.5790, 0.3456)  3 Pu 2.81-2.84
Ce (0.5000, 0.0000, 0.0000)  6 Cl 2.84-2.87
Cl (0.6650, 0.0903, 0.3301)  2 Pu 2.82, 1 Ce 2.84
Cl (0.3272, 0.4210, 0.6544)  3 Pu 2.81-2.84
Cl (0.3350, 0.9097, 0.6699)  2 Pu 2.82, 1 Ce 2.84